Below is crystalline AlAsO at its relaxed geometry, with properties calculated at the PBE level.

The calculation puts the raw formation energy at -1.6464 eV per atom. Its uncorrected energy is -73.158 eV for the cell shown. Its energy above the most stable polymorph in this dataset is 0.0 kJ/mol of atoms. As for the density of states at the Fermi level: 0.11 states/eV/atom. Its crystal system is orthorhombic.

The space group is Cmc2_1 (No. 36) and the conventional cell measures 2.910, 13.282 and 5.149 Å, with angles of 90.00, 90.00 and 90.00 degrees. The inequivalent atoms are Al at (0.000, 0.196, 0.000), As at (0.000, 0.014, 0.047) and O at (0.000, 0.258, 0.322).